Entry 1:
Density functional theory data (PBE-GGA) for a relaxed structure of Tc2I7Br2.

a b c (Å): 8.939 8.939 15.124
angles (deg): 91.53 91.53 104.86
Fractional coordinates of all 22 atoms:
1 Tc 0.152 0.206 0.335
2 Tc 0.206 0.152 0.835
3 Tc 0.794 0.848 0.165
4 Tc 0.848 0.794 0.665
5 I 0.069 0.783 0.565
6 I 0.070 0.930 0.250
7 I 0.174 0.406 0.217
8 I 0.217 0.931 0.935
9 I 0.271 0.401 0.929
10 I 0.401 0.271 0.429
11 I 0.406 0.174 0.717
12 I 0.594 0.826 0.283
13 I 0.599 0.729 0.571
14 I 0.729 0.599 0.071
15 I 0.783 0.069 0.065
16 I 0.826 0.594 0.783
17 I 0.930 0.070 0.750
18 I 0.931 0.217 0.435
19 Br 0.241 0.680 0.073
20 Br 0.320 0.759 0.427
21 Br 0.680 0.241 0.573
22 Br 0.759 0.320 0.927

Values from the calculation:
Density   3.54 Mg/m³
Total moment   4.93 μB per formula unit
Total DFT energy (no corrections)   -3.061 eV/atom
ΔE_f (raw)   1.3 eV/f.u.

Entry 2:
Density functional theory data (PBE-GGA) for a relaxed structure of TcIBr2.

a b c (Å): 6.530 6.412 13.156
angles (deg): 90.00 119.75 90.00
Fractional coordinates of all 16 atoms:
1 Tc 0.162 0.000 0.412
2 Tc 0.162 0.500 0.912
3 Tc 0.838 0.000 0.588
4 Tc 0.838 0.500 0.088
5 I 0.182 0.249 0.750
6 I 0.182 0.251 0.250
7 I 0.818 0.749 0.750
8 I 0.818 0.751 0.250
9 Br 0.148 0.722 0.075
10 Br 0.148 0.778 0.575
11 Br 0.498 0.722 0.925
12 Br 0.498 0.778 0.425
13 Br 0.502 0.222 0.575
14 Br 0.502 0.278 0.075
15 Br 0.852 0.222 0.425
16 Br 0.852 0.278 0.925

Values from the calculation:
Density   5.34 Mg/m³
Total moment   2.00 μB per formula unit
Total DFT energy (no corrections)   -3.984 eV/atom
ΔE_f (raw)   -0.7 eV/f.u.
Offset from the most stable computed form   0 meV/atom

Entry 3:
Density functional theory data (PBE-GGA) for a relaxed structure of TcIBr4.

a b c (Å): 6.575 6.704 6.785
angles (deg): 71.30 76.93 74.80
Fractional coordinates of all 6 atoms:
1 Tc 0.000 0.000 0.000
2 I 0.917 0.734 0.844
3 Br 0.195 0.705 0.256
4 Br 0.315 0.143 0.853
5 Br 0.745 0.110 0.275
6 Br 0.808 0.308 0.735

Values from the calculation:
Density   3.35 Mg/m³
Total moment   2.00 μB per formula unit
Total DFT energy (no corrections)   -3.314 eV/atom
ΔE_f (raw)   -1.3 eV/f.u.

Entry 4:
Density functional theory data (PBE-GGA) for a relaxed structure of TcIBr3.

a b c (Å): 7.149 7.851 6.146
angles (deg): 90.00 90.00 90.00
Fractional coordinates of all 10 atoms:
1 Tc 0.000 0.002 0.000
2 Tc 0.500 0.998 0.500
3 I 0.000 0.295 0.208
4 I 0.500 0.705 0.708
5 Br 0.000 0.733 0.796
6 Br 0.248 0.863 0.248
7 Br 0.252 0.137 0.748
8 Br 0.500 0.267 0.296
9 Br 0.748 0.137 0.748
10 Br 0.752 0.863 0.248

Values from the calculation:
Density   4.47 Mg/m³
Total moment   2.66 μB per formula unit
Total DFT energy (no corrections)   -3.597 eV/atom
ΔE_f (raw)   -1.1 eV/f.u.
Offset from the most stable computed form   78 meV/atom

Entry 5:
Density functional theory data (PBE-GGA) for a relaxed structure of TcIBr2.

a b c (Å): 7.142 7.142 7.142
angles (deg): 117.34 117.34 94.68
Fractional coordinates of all 8 atoms:
1 Tc 0.000 0.000 0.000
2 Tc 0.750 0.250 0.500
3 I 0.250 0.750 0.500
4 I 0.500 0.500 0.000
5 Br 0.002 0.125 0.377
6 Br 0.375 0.998 0.123
7 Br 0.748 0.625 0.623
8 Br 0.875 0.252 0.877

Values from the calculation:
Density   4.79 Mg/m³
Total moment   0.00 μB per formula unit
Total DFT energy (no corrections)   -3.418 eV/atom
ΔE_f (raw)   1.6 eV/f.u.
Offset from the most stable computed form   567 meV/atom

Entry 6:
Density functional theory data (PBE-GGA) for a relaxed structure of TcIBr2.

a b c (Å): 11.461 11.461 11.461
angles (deg): 18.00 18.00 18.00
Fractional coordinates of all 4 atoms:
1 Tc 0.000 0.000 0.000
2 I 0.500 0.500 0.500
3 Br 0.379 0.379 0.379
4 Br 0.621 0.621 0.621

Values from the calculation:
Density   5.09 Mg/m³
Total moment   1.12 μB per formula unit
Total DFT energy (no corrections)   -3.708 eV/atom
ΔE_f (raw)   0.4 eV/f.u.
Offset from the most stable computed form   277 meV/atom

Entry 7:
Density functional theory data (PBE-GGA) for a relaxed structure of Tc2IBr.

a b c (Å): 4.646 4.646 4.646
angles (deg): 60.00 60.00 60.00
Fractional coordinates of all 4 atoms:
1 Tc 0.250 0.250 0.250
2 Tc 0.750 0.750 0.750
3 I 0.000 0.000 0.000
4 Br 0.500 0.500 0.500

Values from the calculation:
Density   9.43 Mg/m³
Total moment   0.00 μB per formula unit
Total DFT energy (no corrections)   -4.894 eV/atom
ΔE_f (raw)   4.4 eV/f.u.
Offset from the most stable computed form   0 meV/atom

Entry 8:
Density functional theory data (PBE-GGA) for a relaxed structure of TcI4Br.

a b c (Å): 6.840 6.870 6.886
angles (deg): 109.80 97.83 91.16
Fractional coordinates of all 6 atoms:
1 Tc 0.000 0.000 0.000
2 I 0.122 0.156 0.741
3 I 0.230 0.316 0.320
4 I 0.690 0.148 0.159
5 I 0.790 0.694 0.694
6 Br 0.178 0.760 0.126

Values from the calculation:
Density   3.78 Mg/m³
Total moment   1.90 μB per formula unit
Total DFT energy (no corrections)   -3.073 eV/atom
ΔE_f (raw)   -0.2 eV/f.u.

Entry 9:
Density functional theory data (PBE-GGA) for a relaxed structure of TcTeI2Br.

a b c (Å): 5.506 5.506 5.145
angles (deg): 90.00 90.00 90.00
Fractional coordinates of all 5 atoms:
1 Tc 0.000 0.000 0.000
2 Te 0.000 0.000 0.500
3 I 0.000 0.500 0.000
4 I 0.500 0.000 0.000
5 Br 0.500 0.500 0.500

Values from the calculation:
Density   5.95 Mg/m³
Total moment   0.87 μB per formula unit
Total DFT energy (no corrections)   -3.301 eV/atom
ΔE_f (raw)   1.8 eV/f.u.
Offset from the most stable computed form   0 meV/atom

Entry 10:
Density functional theory data (PBE-GGA) for a relaxed structure of TcTe2IBr.

a b c (Å): 5.660 5.660 5.662
angles (deg): 90.00 90.00 90.00
Fractional coordinates of all 5 atoms:
1 Tc 0.000 0.000 0.000
2 Te 0.000 0.500 0.500
3 Te 0.500 0.000 0.500
4 I 0.500 0.500 0.000
5 Br 0.500 0.500 0.500

Values from the calculation:
Density   5.13 Mg/m³
Total moment   4.56 μB per formula unit
Total DFT energy (no corrections)   -2.575 eV/atom
ΔE_f (raw)   7.0 eV/f.u.
Offset from the most stable computed form   1055 meV/atom

Entry 11:
Density functional theory data (PBE-GGA) for a relaxed structure of TcTeI2Br.

a b c (Å): 5.704 5.704 5.935
angles (deg): 90.00 90.00 90.00
Fractional coordinates of all 5 atoms:
1 Tc 0.000 0.000 0.000
2 Te 0.500 0.500 0.000
3 I 0.000 0.500 0.500
4 I 0.500 0.000 0.500
5 Br 0.500 0.500 0.500

Values from the calculation:
Density   4.81 Mg/m³
Total moment   4.90 μB per formula unit
Total DFT energy (no corrections)   -2.360 eV/atom
ΔE_f (raw)   6.5 eV/f.u.
Offset from the most stable computed form   941 meV/atom

Entry 12:
Density functional theory data (PBE-GGA) for a relaxed structure of TcTe2IBr.

a b c (Å): 5.182 5.182 5.616
angles (deg): 90.00 90.00 90.00
Fractional coordinates of all 5 atoms:
1 Tc 0.000 0.000 0.000
2 Te 0.000 0.500 0.000
3 Te 0.500 0.000 0.000
4 I 0.000 0.000 0.500
5 Br 0.500 0.500 0.500

Values from the calculation:
Density   6.17 Mg/m³
Total moment   0.00 μB per formula unit
Total DFT energy (no corrections)   -3.630 eV/atom
ΔE_f (raw)   1.7 eV/f.u.
Offset from the most stable computed form   0 meV/atom